PBE KMo2Rh, relaxed; magnetization = 0.000 μB per formula unit; energy relative to the lowest polymorph listed for this composition = 0.35 eV/f.u.
1.0
1.4227 0.8214 10.4742
-1.4227 0.8214 10.4742
0.0000 -1.6428 10.4742
K Mo Rh
1 2 1
Direct
0.0000 0.0000 0.0000 K
0.2333 0.2333 0.2333 Mo
0.4902 0.4902 0.4902 Mo
0.7576 0.7576 0.7576 Rh

PBE KMoRh3, relaxed; magnetization = 0.000 μB per formula unit; energy relative to the lowest polymorph listed for this composition = 8.75 eV/f.u.
1.0
4.5599 0.0000 0.0000
0.0000 4.5599 0.0000
0.0000 0.0000 4.5599
K Mo Rh
1 1 3
Direct
0.0000 0.0000 0.0000 K
0.5000 0.5000 0.5000 Mo
0.0000 0.0000 0.5000 Rh
0.0000 0.5000 0.0000 Rh
0.5000 0.0000 0.0000 Rh

PBE KMo2Rh, relaxed; magnetization = 0.000 μB per formula unit; energy relative to the lowest polymorph listed for this composition = 0.62 eV/f.u.
1.0
2.7543 0.0000 0.0000
0.0000 3.9901 0.0000
0.0000 0.0000 8.1457
K Mo Rh
1 2 1
Direct
0.0000 0.0000 0.0000 K
0.5000 0.5000 0.3503 Mo
0.5000 0.5000 0.6497 Mo
0.0000 0.0000 0.5000 Rh

PBE KMoRh2, relaxed; magnetization = 0.797 μB per formula unit; energy relative to the lowest polymorph listed for this composition = 2.36 eV/f.u.
1.0
-1.6120 2.8199 4.5858
1.6120 -2.8199 4.5858
1.6120 2.8199 -4.5858
K Mo Rh
1 1 2
Direct
0.0000 0.0000 0.0000 K
0.5000 0.5000 0.0000 Mo
0.3016 0.8016 0.5000 Rh
0.6984 0.1984 0.5000 Rh

PBE KMoRh2, relaxed; magnetization = 0.000 μB per formula unit; energy relative to the lowest polymorph listed for this composition = 0.00 eV/f.u.
1.0
2.8812 0.0000 0.0000
0.0000 3.0865 0.0000
0.0000 0.0000 8.5458
K Mo Rh
1 1 2
Direct
0.0000 0.0000 0.0000 K
0.0000 0.0000 0.5000 Mo
0.5000 0.5000 0.3112 Rh
0.5000 0.5000 0.6888 Rh

PBE KMo2Rh, relaxed; magnetization = 0.000 μB per formula unit; energy relative to the lowest polymorph listed for this composition = 2.78 eV/f.u.
1.0
0.0000 3.2709 3.2709
3.2709 0.0000 3.2709
3.2709 3.2709 0.0000
K Mo Rh
1 2 1
Direct
0.0000 0.0000 0.0000 K
0.5000 0.5000 0.5000 Mo
0.7500 0.7500 0.7500 Mo
0.2500 0.2500 0.2500 Rh

PBE KMoRh2, relaxed; magnetization = 0.000 μB per formula unit; energy relative to the lowest polymorph listed for this composition = 0.38 eV/f.u.
1.0
1.4398 0.8313 9.8532
-1.4398 0.8313 9.8532
0.0000 -1.6625 9.8532
K Mo Rh
1 1 2
Direct
0.0000 0.0000 0.0000 K
0.5000 0.5000 0.5000 Mo
0.2371 0.2371 0.2371 Rh
0.7629 0.7629 0.7629 Rh

PBE KMoRh2, relaxed; magnetization = 0.000 μB per formula unit; energy relative to the lowest polymorph listed for this composition = 2.71 eV/f.u.
1.0
0.0000 3.2563 3.2563
3.2563 0.0000 3.2563
3.2563 3.2563 0.0000
K Mo Rh
1 1 2
Direct
0.0000 0.0000 0.0000 K
0.5000 0.5000 0.5000 Mo
0.2500 0.2500 0.2500 Rh
0.7500 0.7500 0.7500 Rh

Energy of formation values, unit meV per atom, following the record order: 660.2 2551.8 727.0 852.0 262.3 1267.2 358.1 940.6.
N(E_F) values, unit states/eV per cell, following the record order: 3.84 10.41 3.34 3.21 3.86 6.29 2.84 5.55.